Zr2Al4Cu: relaxed, PBE.

Computed properties:
As for the relative energy among the computed polymorphs: 284.9 meV/atom. The calculation puts the total magnetic moment at 0.0 μB per formula unit. The value obtained for the formation energy is -0.17 eV/atom.

Unit cell a=3.0126 b=3.0253 c=34.1108 alpha=71.88 beta=90.00 gamma=119.86
Fractional positions:
Al  0.0830  0.1659  0.5358
Al  0.9170  0.8341  0.4642
Al  0.2532  0.5064  0.0343
Al  0.4685  0.9370  0.6563
Al  0.7468  0.4936  0.9657
Al  0.5315  0.0630  0.3437
Zr  0.5937  0.1873  0.8893
Zr  0.0435  0.0870  0.2665
Cu  0.7235  0.4471  0.4042
Cu  0.2765  0.5529  0.5958
Al  0.8938  0.7877  0.1884
Zr  0.4063  0.8127  0.1107
Zr  0.9565  0.9130  0.7335
Al  0.1062  0.2123  0.8116

MgPaCo5P2: relaxed, PBE.

Computed properties:
The calculation puts the total magnetic moment at 2.9 μB per formula unit. The value obtained for the formation energy is -0.50 eV/atom.

Unit cell a=3.9212 b=3.9212 c=7.7173 alpha=90.00 beta=90.00 gamma=90.00
Last column: magnetic moment on the atom in μB.
Fractional positions:
Mg  0.0000  0.0000  0.5000  -0.02
Co  0.5000  0.0000  0.2813  0.58
P  0.5000  0.5000  0.1572  0.00
Co  0.0000  0.5000  0.7187  0.58
Co  0.5000  0.0000  0.7187  0.58
Co  0.0000  0.5000  0.2813  0.58
P  0.5000  0.5000  0.8428  0.00
Pa  0.0000  0.0000  0.0000  -0.32
Co  0.5000  0.5000  0.5000  1.08

CaAcTe2: relaxed, PBE.

Computed properties:
As for the relative energy among the computed polymorphs: 160.6 meV/atom. The calculation puts the total magnetic moment at 0.1 μB per formula unit. As for the formation energy without anion corrections: -5.50 eV/f.u.

Unit cell a=4.0032 b=4.0032 c=8.0127 alpha=90.00 beta=90.00 gamma=90.00
Fractional positions:
Te  0.0000  0.0000  0.7438
Ca  0.5000  0.5000  0.5000
Ac  0.5000  0.5000  0.0000
Te  0.0000  0.0000  0.2562

YTc2Pb: relaxed, PBE.

Computed properties:
The calculation puts the total magnetic moment at 0.0 μB per formula unit. The value obtained for the formation energy is 0.07 eV/atom.

Unit cell a=6.3454 b=6.3454 c=6.3454 alpha=39.08 beta=39.08 gamma=39.08
Fractional positions:
Tc  0.9741  0.9741  0.9741
Pb  0.7253  0.7253  0.7253
Tc  0.2863  0.2863  0.2863
Y  0.5143  0.5143  0.5143

NaLi3Hg9: relaxed, PBE.

Computed properties:
The calculation puts the total magnetic moment at 0.0 μB per formula unit. The value obtained for the formation energy is -0.20 eV/atom.

Unit cell a=5.9518 b=7.4418 c=7.9118 alpha=81.91 beta=67.91 gamma=68.03
Fractional positions:
Li  0.5000  0.0000  0.5000
Hg  0.0000  0.5000  0.0000
Hg  0.6877  0.7862  0.7805
Na  0.0000  0.0000  0.0000
Hg  0.3229  0.6787  0.6510
Hg  0.6771  0.3213  0.3490
Li  0.0000  0.0000  0.5000
Hg  0.9739  0.6787  0.3490
Hg  0.4682  0.7862  0.2195
Hg  0.5318  0.2138  0.7805
Hg  0.0261  0.3213  0.6510
Li  0.5000  0.5000  0.0000
Hg  0.3123  0.2138  0.2195

Pu3ZrGe5: relaxed, PBE.

Computed properties:
The calculation puts the total magnetic moment at 15.1 μB per formula unit. The value obtained for the formation energy is -0.47 eV/atom.

Unit cell a=5.9502 b=8.6063 c=8.6063 alpha=120.00 beta=90.00 gamma=90.00
Last column: magnetic moment on the atom in μB.
Fractional positions:
Zr  0.5000  0.0000  0.0000  -0.12
Pu  0.2500  0.6144  0.0000  4.99
Pu  0.7500  0.0000  0.3856  4.99
Ge  0.2500  0.0000  0.2760  -0.04
Ge  0.5000  0.6667  0.3333  -0.05
Zr  0.0000  0.0000  0.0000  -0.12
Ge  0.0000  0.6667  0.3333  -0.05
Pu  0.2500  0.3856  0.3856  4.99
Ge  0.2500  0.2760  0.0000  -0.04
Pu  0.7500  0.6144  0.6144  4.99
Ge  0.7500  0.0000  0.7240  -0.04
Pu  0.7500  0.3856  0.0000  4.99
Ge  0.7500  0.2760  0.2760  -0.04
Ge  0.0000  0.3333  0.6667  -0.05
Ge  0.5000  0.3333  0.6667  -0.05
Ge  0.2500  0.7240  0.7240  -0.04
Pu  0.2500  0.0000  0.6144  4.99
Ge  0.7500  0.7240  0.0000  -0.04

PuBeGeO6: relaxed, PBE.

Computed properties:
The calculation puts the total magnetic moment at 2.0 μB per formula unit. As for the formation energy without anion corrections: -17.35 eV/f.u.

Unit cell a=4.9410 b=4.9410 c=8.6942 alpha=90.00 beta=90.00 gamma=120.00
Last column: magnetic moment on the atom in μB.
Fractional positions:
O  0.3127  0.9726  0.6264  -0.09
O  0.6873  0.0274  0.3736  -0.09
Be  0.6667  0.3333  0.2500  0.00
O  0.0274  0.3401  0.6264  -0.09
Ge  0.0000  0.0000  0.0000  0.02
O  0.3127  0.3401  0.8736  -0.09
O  0.9726  0.3127  0.1264  -0.09
O  0.3401  0.0274  0.1264  -0.09
O  0.3401  0.3127  0.3736  -0.09
Ge  0.0000  0.0000  0.5000  0.02
O  0.6873  0.6599  0.1264  -0.09
O  0.0274  0.6873  0.8736  -0.09
Pu  0.3333  0.6667  0.2500  2.54
O  0.6599  0.6873  0.6264  -0.09
Be  0.3333  0.6667  0.7500  0.00
O  0.6599  0.9726  0.8736  -0.09
O  0.9726  0.6599  0.3736  -0.09
Pu  0.6667  0.3333  0.7500  2.54

ZnCr2Fe: relaxed, PBE.

Computed properties:
The calculation puts the total magnetic moment at 0.4 μB per formula unit. The value obtained for the formation energy is 0.19 eV/atom.

Unit cell a=3.8276 b=2.4863 c=5.5619 alpha=62.67 beta=90.00 gamma=90.00
Last column: magnetic moment on the atom in μB.
Fractional positions:
Cr  0.0000  0.5229  0.4810  -0.11
Fe  0.5000  0.2500  0.2500  0.65
Cr  0.0000  0.9771  0.0190  -0.11
Zn  0.5000  0.7500  0.7500  0.00

N(E_F) list, top to bottom, in states/eV/cell: 8.77 9.62 2.11 3.24 4.24 52.84 10.14 3.25